Material: Fe5Ru4
Method: DFT, PBE
State: relaxed

The structure in CIF format:
```
data_Fe5Ru4
_chemical_formula_sum 'Fe10 Ru8'
_space_group_name_H-M_alt 'I 4/m m m'
_space_group_IT_number 139
_space_group_name_Hall '-I 4 2'
_cell_length_a 7.7388
_cell_length_b 7.7388
_cell_length_c 3.7472
_cell_angle_alpha 90.00
_cell_angle_beta 90.00
_cell_angle_gamma 90.00
loop_
_atom_site_label
_atom_site_fract_x
_atom_site_fract_y
_atom_site_fract_z
_atom_site_occupancy
Fe1 0.0000 0.0000 0.0000 1
Fe2 0.1624 0.1624 0.5000 1
Ru1 0.0000 0.3265 0.0000 1
```

The volume is 12.47 Å³ per atom. Its energy relative to the lowest polymorph listed for this composition is 0.000 eV/atom. The raw total energy is -8.697 eV/atom. The density of states at the Fermi level comes out at 20.83 states/eV per cell.

***

Material: LiCu2As
Method: DFT, PBE
State: relaxed

The structure in CIF format:
```
data_LiCu2As
_chemical_formula_sum 'Li2 Cu4 As2'
_space_group_name_H-M_alt 'P 4/n m m'
_space_group_IT_number 129
_cell_length_a 3.6122
_cell_length_b 3.6122
_cell_length_c 9.2000
_cell_angle_alpha 90.00
_cell_angle_beta 90.00
_cell_angle_gamma 90.00
loop_
_space_group_symop_operation_xyz
'x,y,z'
'-x,-y,-z'
'-y+1/2,x,z'
'y+1/2,-x,-z'
'-x+1/2,-y+1/2,z'
'x+1/2,y+1/2,-z'
'y,-x+1/2,z'
'-y,x+1/2,-z'
'x+1/2,-y,-z'
'-x+1/2,y,z'
'-y,-x,-z'
'y,x,z'
'-x,y+1/2,-z'
'x,-y+1/2,z'
'y+1/2,x+1/2,-z'
'-y+1/2,-x+1/2,z'
loop_
_atom_site_label
_atom_site_fract_x
_atom_site_fract_y
_atom_site_fract_z
_atom_site_occupancy
Li1 0.2500 0.2500 0.2322 1
Cu1 0.2500 0.2500 0.9461 1
Cu2 0.2500 0.7500 0.5000 1
As1 0.2500 0.2500 0.6839 1
```

The volume is 15.01 Å³ per atom. The raw total energy is -3.787 eV/atom. The density of states at the Fermi level comes out at 2.30 states/eV per cell.